(1)
Crystalline PtPb2O at its relaxed geometry. Source: Alexandria via LeMat-Bulk, functional PBE.

```
PtPb2O
1.0
6.106 0.000 0.000
0.000 6.106 0.000
3.053 3.053 5.477
Pb Pt O
4 2 2
Cartesian
4.328 1.527 1.369
7.633 7.381 4.108
1.778 4.580 1.369
4.580 4.832 4.108
6.106 3.053 2.738
0.000 0.000 0.000
3.053 6.106 2.738
3.053 3.053 0.000
```

Properties
Symmetry ... I-42d (122)
E_tot ... -4.957 eV per atom

(2)
Crystalline PtPb2O at its relaxed geometry. Source: Alexandria via LeMat-Bulk, functional PBE.

```
PtPb2O
1.0
3.571 -0.031 0.035
-1.759 3.984 -0.017
-0.039 -1.034 6.804
Pt Pb O
1 2 1
Cartesian
0.054 -0.724 6.029
0.077 1.685 4.552
1.912 1.974 0.909
0.117 2.018 2.356
```

Properties
Symmetry ... P1 (1)
E_tot ... -5.021 eV per atom

(3)
Crystalline Pt2Pb2O7 at its relaxed geometry. Source: Alexandria via LeMat-Bulk, functional PBE.

```
Pt2Pb2O7
1.0
6.442 0.000 3.719
2.147 6.073 3.719
0.000 0.000 7.438
O Pt Pb
14 4 4
Cartesian
5.562 1.244 9.633
1.267 2.763 5.243
3.027 0.274 5.243
4.294 3.037 7.438
3.027 4.829 9.633
3.027 4.829 5.243
6.442 4.555 11.157
3.907 2.763 3.719
6.829 4.829 7.438
3.027 0.274 2.195
0.388 0.274 3.719
1.267 2.763 2.195
1.760 1.244 7.438
5.562 1.244 5.243
1.074 0.759 1.860
1.074 0.759 5.579
4.294 0.759 3.719
2.147 3.796 3.719
5.368 3.796 5.579
4.294 0.759 7.438
2.147 3.796 7.438
5.368 3.796 9.298
```

Properties
Symmetry ... Fd-3m (227)
E_tot ... -5.702 eV per atom

(4)
Crystalline PtPb2O4 at its relaxed geometry. Source: Alexandria via LeMat-Bulk, functional PBE.

```
PtPb2O4
1.0
4.081 0.000 0.000
0.000 4.081 0.000
2.041 2.041 6.346
Pb O Pt
2 4 1
Cartesian
4.081 4.081 4.486
2.041 2.041 1.860
0.000 2.041 0.000
2.041 0.000 0.000
2.041 2.041 4.299
4.081 4.081 2.047
0.000 0.000 0.000
```

Properties
Symmetry ... I4/mmm (139)
E_tot ... -5.434 eV per atom

(5)
Crystalline PtPb3O at its relaxed geometry. Source: Alexandria via LeMat-Bulk, functional PBE.

```
PtPb3O
1.0
-2.940 1.923 -4.041
1.701 -3.992 -3.137
-4.139 -3.006 1.581
Pb Pt O
3 1 1
Cartesian
-1.470 0.961 -2.020
0.850 -1.996 -1.568
-2.070 -1.503 0.790
0.000 0.000 0.000
-2.689 -2.537 -2.798
```

Properties
Symmetry ... Pm-3m (221)
E_tot ... -4.007 eV per atom

(6)
Crystalline PtPbO2 at its relaxed geometry. Source: Alexandria via LeMat-Bulk, functional PBE.

```
PtPbO2
1.0
4.105 0.000 0.000
0.000 7.505 -0.090
0.000 1.258 9.061
Pb Pt O
4 4 8
Cartesian
2.709 1.354 6.000
2.709 4.284 7.546
1.395 7.408 2.971
1.395 4.478 1.425
0.333 5.446 5.593
0.333 7.697 7.863
3.772 3.316 3.378
3.772 1.065 1.108
0.043 2.225 8.182
0.576 7.478 5.766
0.576 5.666 7.691
0.043 3.414 5.364
4.062 5.348 3.607
4.062 6.537 0.789
3.528 3.097 1.280
3.528 1.284 3.205
```

Properties
Symmetry ... P2/c (13)
E_tot ... -5.501 eV per atom

(7)
Crystalline PtPbO4 at its relaxed geometry. Source: Alexandria via LeMat-Bulk, functional PBE.

```
PtPbO4
1.0
3.212 0.000 -0.687
-0.681 4.770 -3.181
-0.295 -1.319 6.471
O Pb Pt
4 1 1
Cartesian
1.680 1.201 0.000
0.557 2.250 2.604
2.535 -0.467 3.999
-0.299 3.918 -1.395
1.266 2.385 -1.934
0.000 0.000 0.000
```

Properties
Symmetry ... C2/m (12)
E_tot ... -5.587 eV per atom

(8)
Crystalline Pt3Pb2O8 at its relaxed geometry. Source: Alexandria via LeMat-Bulk, functional PBE.

```
Pt3Pb2O8
1.0
-1.857 -2.383 4.553
5.890 -0.044 2.378
-3.117 6.073 -0.651
O Pt Pb
8 3 2
Cartesian
-2.899 3.444 2.552
-0.249 4.787 0.706
0.558 0.226 2.414
3.816 0.202 3.729
-1.703 -1.096 4.197
2.619 4.742 2.084
0.359 3.420 3.867
1.166 -1.141 5.575
-0.928 -1.191 2.277
1.477 -0.011 0.596
4.413 -0.033 1.782
-0.747 2.816 1.901
1.663 0.830 4.380
```

Properties
Symmetry ... C2/m (12)
E_tot ... -5.734 eV per atom

no.,E_form (uncorrected) (eV/atom)
1,-0.353
2,-0.417
3,-0.774
4,-0.678
5,0.418
6,-0.584
7,-0.657
8,-0.718